Record 1
Compound: TlMoPb2
Source: Alexandria
Functional: PBE
Structure: relaxed

Summary:
Its raw total energy is -17.35 eV for the cell shown. The value obtained for the total magnetic moment is 3.64 μB per formula unit. The value obtained for the energy above the most stable polymorph in this dataset is 354 meV/atom. Its energy relative to the elements is 816 meV per atom.

abc: 5.3362 5.3362 5.3362
angles: 60.00 60.00 60.00
Fractional positions:
Tl  0.0000  0.0000  0.0000
Mo  0.7500  0.7500  0.7500
Pb  0.2500  0.2500  0.2500
Pb  0.5000  0.5000  0.5000


Record 2
Compound: PuPd2Pt8
Source: Alexandria
Functional: PBE
Structure: relaxed

Summary:
Its raw total energy is -75.04 eV for the cell shown. The value obtained for the total magnetic moment is 3.33 μB per formula unit. Its energy relative to the elements is -181 meV per atom.

abc: 7.5813 7.5813 7.5813
angles: 150.42 116.76 71.34
Fractional positions:
Pu  0.0000  0.0000  0.0000
Pd  0.3371  0.3371  0.0000
Pd  0.6629  0.6629  0.0000
Pt  0.0854  0.8332  0.2522
Pt  0.1686  0.6686  0.5000
Pt  0.2717  0.5000  0.7717
Pt  0.4190  0.1668  0.2522
Pt  0.5810  0.8332  0.7478
Pt  0.7283  0.5000  0.2283
Pt  0.8314  0.3314  0.5000
Pt  0.9146  0.1668  0.7478


Record 3
Compound: Li3Pr
Source: Alexandria
Functional: PBE
Structure: relaxed

Summary:
Its raw total energy is -20.75 eV for the cell shown. The value obtained for the total magnetic moment is 0.00 μB per formula unit. The value obtained for the energy above the most stable polymorph in this dataset is 0 meV/atom. Its energy relative to the elements is 37 meV per atom.

abc: 3.5584 3.5584 15.4415
angles: 90.00 90.00 90.00
Fractional positions:
Li  0.2500  0.2500  0.0525
Li  0.2500  0.2500  0.2622
Li  0.2500  0.2500  0.8381
Li  0.7500  0.7500  0.1619
Li  0.7500  0.7500  0.7378
Li  0.7500  0.7500  0.9475
Pr  0.2500  0.2500  0.5846
Pr  0.7500  0.7500  0.4154


Record 4
Compound: PrNd2TmTh
Source: Alexandria
Functional: PBE
Structure: relaxed

Summary:
Its raw total energy is -49.26 eV for the cell shown. The value obtained for the total magnetic moment is 0.00 μB per formula unit. Its energy relative to the elements is 315 meV per atom.

abc: 8.6926 6.4645 6.4192
angles: 90.00 97.59 90.00
Fractional positions:
Pr  0.0000  0.0000  0.0000
Pr  0.0000  0.0000  0.5000
Nd  0.3153  0.3088  0.2075
Nd  0.3153  0.6912  0.7075
Nd  0.6847  0.3088  0.2925
Nd  0.6847  0.6912  0.7925
Tm  0.5000  0.1722  0.7500
Tm  0.5000  0.8278  0.2500
Th  0.0000  0.4534  0.7500
Th  0.0000  0.5466  0.2500


Record 5
Compound: AsSe2Cl
Source: Alexandria
Functional: PBE
Structure: relaxed

Summary:
Its raw total energy is -11.12 eV for the cell shown. The value obtained for the total magnetic moment is 0.00 μB per formula unit. The value obtained for the energy above the most stable polymorph in this dataset is 782 meV/atom. Its uncorrected formation energy is 2.3 eV/f.u.

abc: 4.7345 4.7345 3.6254
angles: 90.00 90.00 90.00
Fractional positions:
As  0.0000  0.0000  0.0000
Se  0.0000  0.5000  0.5000
Se  0.5000  0.0000  0.5000
Cl  0.5000  0.5000  0.0000


Record 6
Compound: LiHgI3
Source: Alexandria
Functional: PBE
Structure: relaxed

Summary:
Its raw total energy is -20.11 eV for the cell shown. The value obtained for the total magnetic moment is 0.00 μB per formula unit. The value obtained for the energy above the most stable polymorph in this dataset is 5 meV/atom. Its uncorrected formation energy is -3.2 eV/f.u.

abc: 7.8094 7.8094 12.3445
angles: 94.20 94.20 32.74
Fractional positions:
Li  0.1587  0.1587  0.4005
Li  0.8413  0.8413  0.5995
Hg  0.4291  0.4291  0.2178
Hg  0.5709  0.5709  0.7822
I  0.1379  0.1379  0.9118
I  0.3495  0.3495  0.4247
I  0.3825  0.3825  0.7475
I  0.6175  0.6175  0.2525
I  0.6505  0.6505  0.5753
I  0.8621  0.8621  0.0882


Record 7
Compound: Re2SiPt
Source: Alexandria
Functional: PBE
Structure: relaxed

Summary:
Its raw total energy is -73.80 eV for the cell shown. The value obtained for the total magnetic moment is 0.00 μB per formula unit. Its uncorrected formation energy is -0.5 eV/f.u.

abc: 4.8298 5.5149 5.5169
angles: 62.72 66.44 88.40
Fractional positions:
Re  0.0000  0.0000  0.0000
Re  0.0060  0.5779  0.5579
Re  0.4705  0.8265  0.5819
Re  0.4985  0.7377  0.0731
Si  0.4722  0.3452  0.5766
Si  0.9864  0.0328  0.5456
Pt  0.4908  0.2466  0.0459
Pt  0.9503  0.4464  0.1416


Record 8
Compound: AlCr
Source: Alexandria
Functional: PBE
Structure: relaxed

Summary:
Its raw total energy is -26.18 eV for the cell shown. The value obtained for the total magnetic moment is 0.00 μB per formula unit. Its energy relative to the elements is 137 meV per atom.

abc: 4.8351 4.8351 4.8351
angles: 48.47 48.47 48.47
Fractional positions:
Al  0.1121  0.1121  0.1121
Al  0.8879  0.8879  0.8879
Cr  0.3263  0.3263  0.3263
Cr  0.6737  0.6737  0.6737


Record 9
Compound: Nd2ErAl9
Source: Alexandria
Functional: PBE
Structure: relaxed

Summary:
Its raw total energy is -51.87 eV for the cell shown. The value obtained for the total magnetic moment is 0.00 μB per formula unit. Its energy relative to the elements is -340 meV per atom.

abc: 9.4061 9.4061 9.4061
angles: 34.90 34.90 34.90
Fractional positions:
Nd  0.1418  0.1418  0.1418
Nd  0.8582  0.8582  0.8582
Er  0.0000  0.0000  0.0000
Al  0.0749  0.5857  0.5857
Al  0.3352  0.3352  0.3352
Al  0.4143  0.4143  0.9251
Al  0.4143  0.9251  0.4143
Al  0.5000  0.5000  0.5000
Al  0.5857  0.0749  0.5857
Al  0.5857  0.5857  0.0749
Al  0.6648  0.6648  0.6648
Al  0.9251  0.4143  0.4143


Record 10
Compound: La2TbScHg2
Source: Alexandria
Functional: PBE
Structure: relaxed

Summary:
Its raw total energy is -46.75 eV for the cell shown. The value obtained for the total magnetic moment is 0.00 μB per formula unit. Its energy relative to the elements is -325 meV per atom.

abc: 5.0217 9.4483 7.2696
angles: 90.00 90.00 90.00
Fractional positions:
La  0.0000  0.0572  0.0000
La  0.0000  0.9428  0.5000
La  0.5000  0.1695  0.3138
La  0.5000  0.8305  0.8138
Tb  0.5000  0.4494  0.9703
Tb  0.5000  0.5506  0.4703
Sc  0.0000  0.3277  0.6530
Sc  0.0000  0.6723  0.1530
Hg  0.0000  0.3749  0.2414
Hg  0.0000  0.6251  0.7414
Hg  0.5000  0.1727  0.7439
Hg  0.5000  0.8273  0.2439


Record 11
Compound: PaTl4Sn3O12
Source: Alexandria
Functional: PBE
Structure: relaxed

Summary:
Its raw total energy is -119.27 eV for the cell shown. The value obtained for the total magnetic moment is 0.00 μB per formula unit. Its uncorrected formation energy is -28.8 eV/f.u.

abc: 7.2762 7.2762 7.2762
angles: 109.47 109.47 109.47
Fractional positions:
Pa  0.0000  0.0000  0.0000
Tl  0.0000  0.0000  0.5000
Tl  0.0000  0.5000  0.0000
Tl  0.5000  0.0000  0.0000
Tl  0.5000  0.5000  0.5000
Sn  0.0000  0.5000  0.5000
Sn  0.5000  0.0000  0.5000
Sn  0.5000  0.5000  0.0000
O  0.0000  0.2553  0.2553
O  0.0000  0.7447  0.7447
O  0.2500  0.5000  0.7500
O  0.2500  0.7500  0.5000
O  0.2553  0.0000  0.2553
O  0.2553  0.2553  0.0000
O  0.5000  0.2500  0.7500
O  0.5000  0.7500  0.2500
O  0.7447  0.0000  0.7447
O  0.7447  0.7447  0.0000
O  0.7500  0.2500  0.5000
O  0.7500  0.5000  0.2500


Record 12
Compound: Cs2UBr4O2
Source: Alexandria
Functional: PBE
Structure: relaxed

Summary:
Its raw total energy is -96.67 eV for the cell shown. The value obtained for the total magnetic moment is 0.00 μB per formula unit. Its uncorrected formation energy is -18.7 eV/f.u.

abc: 6.4590 11.2431 9.7436
angles: 90.00 104.43 90.00
Fractional positions:
Cs  0.1810  0.1598  0.3329
Cs  0.1810  0.3402  0.8329
Cs  0.8190  0.6598  0.1671
Cs  0.8190  0.8402  0.6671
U  0.5000  0.0000  0.0000
U  0.5000  0.5000  0.5000
Br  0.2614  0.7107  0.4966
Br  0.2614  0.7893  0.9966
Br  0.3161  0.0352  0.7052
Br  0.3161  0.4648  0.2052
Br  0.6839  0.5352  0.7948
Br  0.6839  0.9648  0.2948
Br  0.7386  0.2107  0.0034
Br  0.7386  0.2893  0.5034
O  0.2903  0.0900  0.0414
O  0.2903  0.4100  0.5414
O  0.7097  0.5900  0.4586
O  0.7097  0.9100  0.9586


Record 13
Compound: ZnHg2F5
Source: Alexandria
Functional: PBE
Structure: relaxed

Summary:
Its raw total energy is -48.21 eV for the cell shown. The value obtained for the total magnetic moment is 0.00 μB per formula unit. Its uncorrected formation energy is -12.9 eV/f.u.

abc: 6.7286 6.7286 10.2297
angles: 90.00 90.00 143.94
Fractional positions:
Zn  0.1791  0.8209  0.7500
Zn  0.8209  0.1791  0.2500
Hg  0.1191  0.8809  0.1118
Hg  0.1191  0.8809  0.3882
Hg  0.8809  0.1191  0.6118
Hg  0.8809  0.1191  0.8882
F  0.0699  0.9301  0.6064
F  0.0699  0.9301  0.8936
F  0.2971  0.7029  0.6056
F  0.2971  0.7029  0.8944
F  0.3027  0.6973  0.2500
F  0.6973  0.3027  0.7500
F  0.7029  0.2971  0.1056
F  0.7029  0.2971  0.3944
F  0.9301  0.0699  0.1064
F  0.9301  0.0699  0.3936


Record 14
Compound: Li4Np3IrS8
Source: Alexandria
Functional: PBE
Structure: relaxed

Summary:
Its raw total energy is -106.71 eV for the cell shown. The value obtained for the total magnetic moment is 11.29 μB per formula unit. Its uncorrected formation energy is -18.3 eV/f.u.

abc: 7.6209 7.6209 7.6209
angles: 58.74 58.74 58.74
Fractional positions:
Li  0.0000  0.0000  0.0000
Li  0.0000  0.5000  0.5000
Li  0.5000  0.0000  0.5000
Li  0.5000  0.5000  0.0000
Np  0.0000  0.0000  0.5000
Np  0.0000  0.5000  0.0000
Np  0.5000  0.0000  0.0000
Ir  0.5000  0.5000  0.5000
S  0.2534  0.2534  0.2534
S  0.2636  0.2636  0.7266
S  0.2636  0.7266  0.2636
S  0.2734  0.7364  0.7364
S  0.7266  0.2636  0.2636
S  0.7364  0.2734  0.7364
S  0.7364  0.7364  0.2734
S  0.7466  0.7466  0.7466